Run P
DFT (GGA-PBE) results for a geometry-optimized CrNiSe2N structure.

Values from the calculation:
Total magnetic moment   1.2 μB/cell

```
data_CrNiSe2N
_chemical_formula_sum 'Cr1 Ni1 Se2 N1'
_symmetry_space_group_name_H-M 'P 4/m m m'
_symmetry_Int_Tables_number 123
_symmetry_space_group_name_Hall '-P 4 2'
_cell_length_a 4.872
_cell_length_b 4.872
_cell_length_c 3.463
_cell_angle_alpha 90.00
_cell_angle_beta 90.00
_cell_angle_gamma 90.00
loop_
_atom_site_label
_atom_site_type_symbol
_atom_site_fract_x
_atom_site_fract_y
_atom_site_fract_z
Cr1 Cr 0.000 0.000 0.000
Ni1 Ni 0.500 0.500 0.500
Se1 Se 0.000 0.500 0.000
N1 N 0.000 0.000 0.500
```

=====

Run Q
DFT (GGA-PBE) results for a geometry-optimized CrNiSe2N structure.

Values from the calculation:
Total magnetic moment   0.1 μB/cell

```
data_CrNiSe2N
_chemical_formula_sum 'Cr1 Ni1 Se2 N1'
_symmetry_space_group_name_H-M 'P 4/m m m'
_symmetry_Int_Tables_number 123
_symmetry_space_group_name_Hall '-P 4 2'
_cell_length_a 4.867
_cell_length_b 4.867
_cell_length_c 3.389
_cell_angle_alpha 90.00
_cell_angle_beta 90.00
_cell_angle_gamma 90.00
loop_
_atom_site_label
_atom_site_type_symbol
_atom_site_fract_x
_atom_site_fract_y
_atom_site_fract_z
Cr1 Cr 0.000 0.000 0.000
Ni1 Ni 0.500 0.500 0.500
Se1 Se 0.000 0.500 0.500
N1 N 0.500 0.500 0.000
```

=====

Most stable: run P (next structure +429 meV per atom)